# 1
First-principles (GGA-PBE) data for an optimized crystal structure of Pm11Hg9Au4, as listed in Alexandria.

Results
uncorrected energy	-3.4178	eV/atom
DOS at the Fermi energy	0.844	states/eV per atom

Cell and atoms, written as CIF:
```
data_Pm11Hg9Au4
_cell_length_a 14.9744
_cell_length_b 22.4803
_cell_length_c 3.7947
_cell_angle_alpha 90.00
_cell_angle_beta 90.00
_cell_angle_gamma 90.00
_symmetry_space_group_name_H-M 'C m m m'
_symmetry_Int_Tables_number 65
_symmetry_space_group_name_Hall '-C 2 2'
loop_
_atom_site_label
_atom_site_type_symbol
_atom_site_fract_x
_atom_site_fract_y
_atom_site_fract_z
Pm1 Pm 0.0000 0.0000 0.0000
Pm2 Pm 0.0000 0.1678 0.0000
Pm3 Pm 0.0000 0.3655 0.0000
Pm4 Pm 0.2096 0.5000 0.0000
Pm5 Pm 0.2411 0.1721 0.0000
Hg1 Hg 0.0000 0.5000 0.5000
Hg2 Hg 0.1071 0.2612 0.5000
Hg3 Hg 0.1357 0.0748 0.5000
Au1 Au 0.1502 0.4017 0.5000
```



# 2
First-principles (GGA-PBE) data for an optimized crystal structure of HfFeTc2, as listed in Alexandria.

Results
DOS at the Fermi energy	1.775	states/eV per atom
relative energy among the computed polymorphs	42.3	kJ/mol of atoms

Cell and atoms, written as CIF:
```
data_HfFeTc2
_cell_length_a 7.2068
_cell_length_b 7.2068
_cell_length_c 5.0034
_cell_angle_alpha 90.00
_cell_angle_beta 90.00
_cell_angle_gamma 90.00
_symmetry_space_group_name_H-M 'I -4 2 d'
_symmetry_Int_Tables_number 122
_symmetry_space_group_name_Hall 'I -4 2bw'
loop_
_atom_site_label
_atom_site_type_symbol
_atom_site_fract_x
_atom_site_fract_y
_atom_site_fract_z
Hf1 Hf 0.0000 0.0000 0.0000
Fe1 Fe 0.0000 0.0000 0.5000
Tc1 Tc 0.1947 0.2500 0.6250
```